DyHfFePd, relaxed, DFT PBE; theoretical density = 11.4 g cm⁻³; raw total energy = -7.375 eV per atom; crystal system = cubic; space group = F-43m
1.0
0.000 3.322 3.322
3.322 0.000 3.322
3.322 3.322 0.000
Dy Hf Fe Pd
1 1 1 1
direct
0.000 0.000 0.000 Dy
0.500 0.500 0.500 Hf
0.750 0.750 0.750 Fe
0.250 0.250 0.250 Pd